Compound: Pm2IrBr2
Source: Alexandria via LeMat-Bulk
Functional: PBE
Structure: optimized geometry

abc: 11.1484 11.1484 11.1484
angles: 21.19 21.19 21.19
Closest atoms and distances in Å follow each position.
Fractional positions:
Pm  0.1166  0.1166  0.1166  3 Ir 2.88, 3 Br 3.07
Pm  0.8834  0.8834  0.8834  3 Ir 2.88, 3 Br 3.07
Ir  0.5000  0.5000  0.5000  6 Pm 2.88
Br  0.3899  0.3899  0.3899  3 Pm 3.07
Br  0.6101  0.6101  0.6101  3 Pm 3.07

Calculated values
Calculated total energy in eV/atom: -5.59



Compound: Pm7IrBr12
Source: Alexandria via LeMat-Bulk
Functional: PBE
Structure: optimized geometry

abc: 9.5204 9.5204 9.5204
angles: 106.76 106.76 106.76
Closest atoms and distances in Å follow each position.
Fractional positions:
Pm  0.0000  0.0000  0.0000  6 Br 2.90
Pm  0.1894  0.4802  0.3966  1 Ir 2.76, 3 Br 2.98-3.07
Pm  0.3966  0.1894  0.4802  1 Ir 2.76, 3 Br 2.98-3.07
Pm  0.4802  0.3966  0.1894  1 Ir 2.76, 3 Br 2.98-3.07
Pm  0.5198  0.6034  0.8106  1 Ir 2.76, 3 Br 2.98-3.07
Pm  0.6034  0.8106  0.5198  1 Ir 2.76, 3 Br 2.98-3.07
Pm  0.8106  0.5198  0.6034  1 Ir 2.76, 3 Br 2.98-3.07
Ir  0.5000  0.5000  0.5000  6 Pm 2.76
Br  0.0381  0.1190  0.3312  3 Pm 2.90-3.11
Br  0.1190  0.3312  0.0381  3 Pm 2.90-3.11
Br  0.1791  0.5720  0.7188  3 Pm 2.98-3.20
Br  0.2812  0.8209  0.4280  3 Pm 2.98-3.20
Br  0.3312  0.0381  0.1190  3 Pm 2.90-3.11
Br  0.4280  0.2812  0.8209  3 Pm 2.98-3.20
Br  0.5720  0.7188  0.1791  3 Pm 2.98-3.20
Br  0.6688  0.9619  0.8810  3 Pm 2.90-3.11
Br  0.7188  0.1791  0.5720  3 Pm 2.98-3.20
Br  0.8209  0.4280  0.2812  3 Pm 2.98-3.20
Br  0.8810  0.6688  0.9619  3 Pm 2.90-3.11
Br  0.9619  0.8810  0.6688  3 Pm 2.90-3.11

Calculated values
Calculated total energy in eV/atom: -4.76



- Which of these has the lowest calculated total energy?
  Pm2IrBr2